# 1
Compound: Tl3Cu4Se4
Source: Alexandria via LeMat-Bulk
Functional: PBE
Structure: optimized geometry

The crystal system is orthorhombic. For the offset from the most stable computed form, the calculation gives 0.00 eV per formula unit. The value obtained for the calculated total energy is -39.53 eV/cell.

Structure (CIF):
```
data_Tl3Cu4Se4
_space_group_name_H-M_alt 'P 1'
_space_group_IT_number 1
_space_group_name_Hall 'P 1'
_cell_length_a 4.120
_cell_length_b 4.596
_cell_length_c 13.868
_cell_angle_alpha 99.54
_cell_angle_beta 98.54
_cell_angle_gamma 90.00
loop_
_atom_site_label
_atom_site_fract_x
_atom_site_fract_y
_atom_site_fract_z
Tl1 0.649 0.149 0.299
Se1 0.202 0.702 0.404
Cu1 0.889 0.389 0.778
Tl2 0.351 0.851 0.701
Se2 0.433 0.433 0.867
Cu2 0.111 0.611 0.222
Tl3 0.000 0.000 0.000
Se3 0.798 0.298 0.596
Se4 0.567 0.567 0.133
Cu3 0.752 0.752 0.504
Cu4 0.248 0.248 0.496
```

# 2
Compound: TlCu2Se
Source: Alexandria via LeMat-Bulk
Functional: PBE
Structure: optimized geometry

The crystal system is orthorhombic. For the offset from the most stable computed form, the calculation gives 0.21 eV per formula unit. The value obtained for the calculated total energy is -13.71 eV/cell.

Structure (CIF):
```
data_TlCu2Se
_space_group_name_H-M_alt 'P 1'
_space_group_IT_number 1
_space_group_name_Hall 'P 1'
_cell_length_a 6.683
_cell_length_b 6.683
_cell_length_c 6.683
_cell_angle_alpha 149.17
_cell_angle_beta 148.21
_cell_angle_gamma 44.87
loop_
_atom_site_label
_atom_site_fract_x
_atom_site_fract_y
_atom_site_fract_z
Cu1 0.028 0.028 0.000
Tl1 0.279 0.779 0.500
Cu2 0.672 0.172 0.500
Se1 0.520 0.520 0.000
```

# 3
Compound: TlCuSe3
Source: Alexandria via LeMat-Bulk
Functional: PBE
Structure: optimized geometry

The crystal system is triclinic. For the offset from the most stable computed form, the calculation gives 0.00 eV per formula unit. The value obtained for the calculated total energy is -35.21 eV/cell.

Structure (CIF):
```
data_TlCuSe3
_space_group_name_H-M_alt 'P 1'
_space_group_IT_number 1
_space_group_name_Hall 'P 1'
_cell_length_a 6.819
_cell_length_b 7.138
_cell_length_c 7.634
_cell_angle_alpha 128.03
_cell_angle_beta 95.38
_cell_angle_gamma 80.86
loop_
_atom_site_label
_atom_site_fract_x
_atom_site_fract_y
_atom_site_fract_z
Se1 0.369 0.525 0.185
Se2 0.083 0.377 0.463
Tl1 0.929 0.254 0.914
Se3 0.993 0.742 0.833
Tl2 0.522 0.646 0.732
Se4 0.457 0.160 0.815
Cu1 0.331 0.144 0.508
Se5 0.569 0.835 0.236
Se6 0.881 0.067 0.411
Cu2 0.121 0.758 0.140
```

no.,density of states at the Fermi level (states/eV/f.u.),uncorrected formation energy (meV/atom)
1,4.6,-191
2,1.0,82
3,0.3,-138